a.
An optimized crystal structure of Tl2BiBr5, computed with GGA-PBE.

Cell lengths 7.9497, 7.9497, 8.2246 Å; angles 120.37, 120.37, 62.23 degrees
Fractional coordinates of all 8 atoms:
Tl  0.0000  0.0000  0.0000
Tl  0.5005  0.5005  0.4646
Bi  0.6724  0.6724  0.1321
Br  0.3806  0.8740  0.8488
Br  0.4174  0.9054  0.3728
Br  0.8740  0.3806  0.8488
Br  0.9054  0.4174  0.3728
Br  0.9128  0.9128  0.3359

Values from the calculation:
**Total magnetization**: 0.000 μB/cell
**Space group**: Cm

b.
An optimized crystal structure of Tl2BiBr5, computed with GGA-PBE.

Cell lengths 13.4547, 9.2282, 8.8443 Å; angles 90.00, 90.00, 90.00 degrees
Fractional coordinates of all 32 atoms:
Tl  0.1647  0.0068  0.0857
Tl  0.1647  0.4932  0.0857
Tl  0.3353  0.5068  0.5857
Tl  0.3353  0.9932  0.5857
Tl  0.6647  0.0068  0.4143
Tl  0.6647  0.4932  0.4143
Tl  0.8353  0.5068  0.9143
Tl  0.8353  0.9932  0.9143
Bi  0.0037  0.2500  0.5625
Bi  0.4963  0.7500  0.0625
Bi  0.5037  0.2500  0.9375
Bi  0.9963  0.7500  0.4375
Br  0.0095  0.2500  0.9181
Br  0.0608  0.5504  0.6755
Br  0.0608  0.9496  0.6755
Br  0.1946  0.2500  0.4048
Br  0.2044  0.7500  0.3577
Br  0.2956  0.2500  0.8577
Br  0.3054  0.7500  0.9048
Br  0.4392  0.0504  0.1755
Br  0.4392  0.4496  0.1755
Br  0.4905  0.7500  0.4181
Br  0.5095  0.2500  0.5819
Br  0.5608  0.5504  0.8245
Br  0.5608  0.9496  0.8245
Br  0.6946  0.2500  0.0952
Br  0.7044  0.7500  0.1423
Br  0.7956  0.2500  0.6423
Br  0.8054  0.7500  0.5952
Br  0.9392  0.0504  0.3245
Br  0.9392  0.4496  0.3245
Br  0.9905  0.7500  0.0819

Values from the calculation:
**Total magnetization**: 0.000 μB/cell
**Space group**: Pnma

In terms of stability, b leads; the second structure lies 0.041 eV/atom higher.